# 1
Here is a relaxed Sc2ZnN crystal from Alexandria. Energies are from PBE.

space-group type: R-3m
E: -5.6403 eV/atom
crystal system: trigonal
formation energy (no corrections): -7.2 kJ per mole of atoms
M_tot: 0.00 Bohr magnetons per cell

Lattice parameters (Å, degrees): 7.906 7.906 7.906 27.55 27.55 27.55
Positions (direct):
Sc  0.919  0.919  0.919
Sc  0.081  0.081  0.081
Zn  0.500  0.500  0.500
N  0.000  0.000  0.000

# 2
Here is a relaxed Zr2ScZnN crystal from Alexandria. Energies are from PBE.

space-group type: P4/mmm
E: -7.4769 eV/atom
crystal system: tetragonal
formation energy (no corrections): -84.1 kJ per mole of atoms
M_tot: 0.00 Bohr magnetons per cell

Lattice parameters (Å, degrees): 4.469 4.469 4.377 90.00 90.00 90.00
Positions (direct):
Sc  0.000  0.000  0.500
Zn  0.500  0.500  0.500
Zr  0.000  0.500  0.000
Zr  0.500  0.000  0.000
N  0.000  0.000  0.000

# 3
Here is a relaxed Zr3ScZn2N crystal from Alexandria. Energies are from PBE.

space-group type: Immm
E: -6.6540 eV/atom
crystal system: orthorhombic
formation energy (no corrections): -51.4 kJ per mole of atoms
M_tot: 0.00 Bohr magnetons per cell

Lattice parameters (Å, degrees): 4.292 4.358 7.671 106.50 106.24 90.00
Positions (direct):
Zr  0.000  0.500  0.000
Zr  0.167  0.167  0.334
Zr  0.833  0.833  0.666
Sc  0.500  0.000  0.000
Zn  0.635  0.635  0.269
Zn  0.365  0.365  0.731
N  0.000  0.000  0.000

# 4
Here is a relaxed Zr5ScN4 crystal from Alexandria. Energies are from PBE.

space-group type: C2/m
E: -9.6525 eV/atom
crystal system: monoclinic
formation energy (no corrections): -136.5 kJ per mole of atoms
M_tot: 0.00 Bohr magnetons per cell

Lattice parameters (Å, degrees): 3.289 6.584 7.182 103.64 103.24 90.00
Positions (direct):
Zr  0.167  0.318  0.334
Zr  0.163  0.847  0.327
Zr  0.837  0.153  0.673
Zr  0.500  0.500  0.000
Zr  0.833  0.682  0.666
Sc  0.500  0.000  0.000
N  0.666  0.084  0.331
N  0.003  0.250  0.006
N  0.334  0.916  0.669
N  0.997  0.750  0.994

# 5
Here is a relaxed ZrScN2 crystal from Alexandria. Energies are from PBE.

space-group type: P6_3/mmc
E: -9.6332 eV/atom
crystal system: hexagonal
formation energy (no corrections): -168.9 kJ per mole of atoms
M_tot: 0.00 Bohr magnetons per cell

Lattice parameters (Å, degrees): 3.213 3.213 10.737 90.00 90.00 120.00
Positions (direct):
Zr  0.000  0.000  0.500
Zr  0.000  0.000  0.000
Sc  0.667  0.333  0.250
Sc  0.333  0.667  0.750
N  0.333  0.667  0.378
N  0.667  0.333  0.878
N  0.667  0.333  0.622
N  0.333  0.667  0.122

# 6
Here is a relaxed ZrScN2 crystal from Alexandria. Energies are from PBE.

space-group type: I-42d
E: -9.3723 eV/atom
crystal system: tetragonal
formation energy (no corrections): -143.7 kJ per mole of atoms
M_tot: 0.00 Bohr magnetons per cell

Lattice parameters (Å, degrees): 4.948 4.948 6.058 65.89 65.89 90.00
Positions (direct):
Sc  0.500  0.500  0.000
Sc  0.250  0.750  0.500
Zr  0.000  0.000  0.000
Zr  0.750  0.250  0.500
N  0.628  0.125  0.250
N  0.122  0.625  0.250
N  0.375  0.372  0.750
N  0.875  0.878  0.750

Repeat the second record exactly.
Here is a relaxed Zr2ScZnN crystal from Alexandria. Energies are from PBE.

space-group type: P4/mmm
E: -7.4769 eV/atom
crystal system: tetragonal
formation energy (no corrections): -84.1 kJ per mole of atoms
M_tot: 0.00 Bohr magnetons per cell

Lattice parameters (Å, degrees): 4.469 4.469 4.377 90.00 90.00 90.00
Positions (direct):
Sc  0.000  0.000  0.500
Zn  0.500  0.500  0.500
Zr  0.000  0.500  0.000
Zr  0.500  0.000  0.000
N  0.000  0.000  0.000